# CeSnI5 (PBE-GGA, optimized geometry)
data_CeSnI5
_space_group_name_H-M_alt 'P 1 21/m 1'
_space_group_IT_number 11
_cell_length_a 9.1680
_cell_length_b 4.5839
_cell_length_c 15.1462
_cell_angle_alpha 90.00
_cell_angle_beta 93.88
_cell_angle_gamma 90.00
loop_
_space_group_symop_operation_xyz
'x,y,z'
'-x,-y,-z'
'-x,y+1/2,-z'
'x,-y+1/2,z'
loop_
_atom_site_label
_atom_site_type_symbol
_atom_site_fract_x
_atom_site_fract_y
_atom_site_fract_z
Ce1 Ce 0.0912 0.2500 0.1503
Sn1 Sn 0.4026 0.7500 0.3696
I1 I 0.1180 0.2500 0.7901
I2 I 0.1499 0.2500 0.3683
I3 I 0.1836 0.7500 0.0125
I4 I 0.3572 0.7500 0.5706
I5 I 0.4289 0.2500 0.1860
# E_form (uncorrected) = -0.96 eV per atom

***

# HgPbCl4 (PBE-GGA, optimized geometry)
data_HgPbCl4
_space_group_name_H-M_alt 'C 1 2/c 1'
_space_group_IT_number 15
_cell_length_a 9.7703
_cell_length_b 15.1985
_cell_length_c 6.8489
_cell_angle_alpha 90.00
_cell_angle_beta 134.19
_cell_angle_gamma 90.00
loop_
_space_group_symop_operation_xyz
'x,y,z'
'-x,-y,-z'
'-x,y,-z+1/2'
'x,-y,z+1/2'
'x+1/2,y+1/2,z'
'-x+1/2,-y+1/2,-z'
'-x+1/2,y+1/2,-z+1/2'
'x+1/2,-y+1/2,z+1/2'
loop_
_atom_site_label
_atom_site_type_symbol
_atom_site_fract_x
_atom_site_fract_y
_atom_site_fract_z
Hg1 Hg 0.0000 0.0831 0.2500
Pb1 Pb 0.0000 0.3381 0.7500
Cl1 Cl 0.1640 0.2052 0.1434
Cl2 Cl 0.2262 0.4535 0.2841
# Distance to the lowest polymorph of the same formula = 0 meV/atom
# E_form (uncorrected) = -0.86 eV per atom

***

# CaBeTe2N (PBE-GGA, optimized geometry)
data_CaBeTe2N
_space_group_name_H-M_alt 'P 4/m m m'
_space_group_IT_number 123
_space_group_name_Hall '-P 4 2'
_cell_length_a 5.7434
_cell_length_b 5.7434
_cell_length_c 3.1860
_cell_angle_alpha 90.00
_cell_angle_beta 90.00
_cell_angle_gamma 90.00
loop_
_atom_site_label
_atom_site_type_symbol
_atom_site_fract_x
_atom_site_fract_y
_atom_site_fract_z
Ca1 Ca 0.0000 0.0000 0.0000
Be1 Be 0.5000 0.5000 0.5000
Te1 Te 0.0000 0.5000 0.5000
N1 N 0.5000 0.5000 0.0000
# Distance to the lowest polymorph of the same formula = 0 meV/atom
# E_form (uncorrected) = -0.21 eV per atom

***

The evaluated total energy for the records listed, in turn: -3.484 -2.758 -4.279 eV per atom.
The evaluated total magnetic moment for the records listed, in turn: 1.00 0.00 0.00 μB/f.u..